# 1
The following is a DFT calculation (PBEsol) of crystalline MnBO3 at its relaxed geometry.

Values from the calculation:
D(E_F)   0.65 states/eV/cell
Raw total energy   -8.476 eV/atom
Calculated volume   89.4 Å³ per cell

Unit cell a=4.6637 b=4.6637 c=5.7020 alpha=117.69 beta=117.69 gamma=58.39
Element x y z (fractional)
1 Mn 0.0000 0.5000 0.0000
2 Mn 0.5000 0.0000 0.5000
3 B 0.2380 0.7620 0.7500
4 B 0.7620 0.2380 0.2500
5 O 0.0638 0.2401 0.2626
6 O 0.2401 0.0638 0.7625
7 O 0.4562 0.5438 0.2500
8 O 0.5438 0.4562 0.7500
9 O 0.7599 0.9362 0.2374
10 O 0.9362 0.7599 0.7375


# 2
The following is a DFT calculation (PBEsol) of crystalline MnInNiOs2 at its relaxed geometry.

Values from the calculation:
D(E_F)   7.10 states/eV/cell
Raw total energy   -7.014 eV/atom
Calculated volume   88.1 Å³ per cell

Unit cell a=4.3389 b=4.3389 c=4.6799 alpha=90.00 beta=90.00 gamma=90.00
Element x y z (fractional)
1 Mn 0.0000 0.0000 0.0000
2 In 0.0000 0.0000 0.5000
3 Ni 0.5000 0.5000 0.5000
4 Os 0.0000 0.5000 0.0000
5 Os 0.5000 0.0000 0.0000


# 3
The following is a DFT calculation (PBEsol) of crystalline Li2FeP2S6 at its relaxed geometry.

Values from the calculation:
Raw total energy   -5.226 eV/atom
Calculated volume   185.4 Å³ per cell

Unit cell a=5.7727 b=5.7727 c=6.4226 alpha=90.00 beta=90.00 gamma=120.00
Element x y z (fractional)
1 Li 0.0000 0.0000 0.0000
2 Li 0.0000 0.0000 0.5000
3 Fe 0.3333 0.6667 0.0000
4 P 0.6667 0.3333 0.1685
5 P 0.6667 0.3333 0.8315
6 S 0.0291 0.3646 0.7674
7 S 0.0291 0.6645 0.2326
8 S 0.3355 0.3646 0.2326
9 S 0.3355 0.9709 0.7674
10 S 0.6354 0.6645 0.7674
11 S 0.6354 0.9709 0.2326


# 4
The following is a DFT calculation (PBEsol) of crystalline ZrMnPt at its relaxed geometry.

Values from the calculation:
D(E_F)   2.28 states/eV/cell
Raw total energy   -8.793 eV/atom
Calculated volume   59.1 Å³ per cell

Unit cell a=4.3726 b=4.3726 c=4.3726 alpha=60.00 beta=60.00 gamma=60.00
Element x y z (fractional)
1 Zr 0.0000 0.0000 0.0000
2 Mn 0.5000 0.5000 0.5000
3 Pt 0.7500 0.7500 0.7500


- Which of these has the highest calculated volume?
  Li2FeP2S6